#P
DFT (GGA-PBE) results for an optimized crystal structure of Br3O2.

Lattice parameters (Å, degrees): 4.472 5.757 7.364 91.68 101.74 109.35
Space group P1 (No. 1)
Inequivalent atoms, fractional coordinates:
Br: 0.000 0.000 0.000 (multiplicity 1)
Br: 0.006 0.588 0.507 (multiplicity 1)
Br: 0.275 0.849 0.279 (multiplicity 1)
O: 0.863 0.153 0.730 (multiplicity 1)
O: 0.882 0.380 0.751 (multiplicity 1)

The size of the total moment comes out at 0.209 μB/atom.


#Q
DFT (GGA-PBE) results for an optimized crystal structure of Br3O2.

Lattice parameters (Å, degrees): 5.879 7.540 7.553 111.51 96.06 106.14
Space group P-1 (No. 2)
Inequivalent atoms, fractional coordinates:
Br: 0.064 0.317 0.465 (multiplicity 2)
Br: 0.285 0.106 0.312 (multiplicity 2)
Br: 0.395 0.665 0.967 (multiplicity 2)
O: 0.270 0.483 0.043 (multiplicity 2)
O: 0.468 0.110 0.841 (multiplicity 2)

The size of the total moment comes out at 0.000 μB/atom.


#R
DFT (GGA-PBE) results for an optimized crystal structure of Br3O2.

Lattice parameters (Å, degrees): 5.755 7.091 8.223 66.68 82.00 83.86
Space group P1 (No. 1)
Inequivalent atoms, fractional coordinates:
Br: 0.000 0.000 0.000 (multiplicity 1)
Br: 0.032 0.983 0.407 (multiplicity 1)
Br: 0.152 0.643 0.843 (multiplicity 1)
Br: 0.372 0.410 0.254 (multiplicity 1)
Br: 0.521 0.371 0.529 (multiplicity 1)
Br: 0.784 0.701 0.458 (multiplicity 1)
O: 0.223 0.414 0.011 (multiplicity 1)
O: 0.280 0.953 0.942 (multiplicity 1)
O: 0.882 0.207 0.850 (multiplicity 1)
O: 0.895 0.752 0.912 (multiplicity 1)

The size of the total moment comes out at 0.000 μB/atom.


Energy relative to the most stable one, in meV per atom: #P 0; #Q 47; #R 38


#P
DFT (GGA-PBE) results for an optimized crystal structure of Os2BrO.

Lattice parameters (Å, degrees): 4.295 4.295 14.214 90.00 90.00 90.00
Space group I-42d (No. 122)
Inequivalent atoms, fractional coordinates:
Os: 0.137 0.250 0.125 (multiplicity 8)
Br: 0.000 0.000 0.500 (multiplicity 4)
O: 0.000 0.000 0.000 (multiplicity 4)

The size of the total moment comes out at 0.000 μB/atom.


#Q
DFT (GGA-PBE) results for an optimized crystal structure of Os2BrO.

Lattice parameters (Å, degrees): 5.985 5.985 5.985 90.00 90.00 90.00
Space group Fm-3m (No. 225)
Inequivalent atoms, fractional coordinates:
Os: 0.250 0.250 0.250 (multiplicity 8)
Br: 0.000 0.000 0.000 (multiplicity 4)
O: 0.000 0.000 0.500 (multiplicity 4)

The size of the total moment comes out at 0.000 μB/atom.


Energy relative to the most stable one, in meV per atom: #P 0; #Q 761


#P
DFT (GGA-PBE) results for an optimized crystal structure of P2OsBrO.

Lattice parameters (Å, degrees): 4.786 4.786 3.472 90.00 90.00 90.00
Space group P4/mmm (No. 123)
Inequivalent atoms, fractional coordinates:
P: 0.000 0.500 0.000 (multiplicity 2)
Os: 0.000 0.000 0.500 (multiplicity 1)
Br: 0.500 0.500 0.000 (multiplicity 1)
O: 0.500 0.500 0.500 (multiplicity 1)

The size of the total moment comes out at 0.000 μB/atom.


#Q
DFT (GGA-PBE) results for an optimized crystal structure of P2OsBrO.

Lattice parameters (Å, degrees): 4.761 4.761 3.789 90.00 90.00 90.00
Space group P4/mmm (No. 123)
Inequivalent atoms, fractional coordinates:
P: 0.000 0.500 0.000 (multiplicity 2)
Os: 0.000 0.000 0.000 (multiplicity 1)
Br: 0.500 0.500 0.500 (multiplicity 1)
O: 0.000 0.000 0.500 (multiplicity 1)

The size of the total moment comes out at 0.000 μB/atom.


Energy relative to the most stable one, in meV per atom: #P 1418; #Q 0


#P
DFT (GGA-PBE) results for an optimized crystal structure of OsSe2BrO.

Lattice parameters (Å, degrees): 4.080 4.080 5.900 90.00 90.00 90.00
Space group P4/mmm (No. 123)
Inequivalent atoms, fractional coordinates:
Os: 0.000 0.000 0.000 (multiplicity 1)
Se: 0.000 0.500 0.500 (multiplicity 2)
Br: 0.500 0.500 0.000 (multiplicity 1)
O: 0.500 0.500 0.500 (multiplicity 1)

The size of the total moment comes out at 0.698 μB/atom.


#Q
DFT (GGA-PBE) results for an optimized crystal structure of OsSe2BrO.

Lattice parameters (Å, degrees): 4.765 4.765 5.230 90.00 90.00 90.00
Space group P4/mmm (No. 123)
Inequivalent atoms, fractional coordinates:
Os: 0.000 0.000 0.000 (multiplicity 1)
Se: 0.000 0.500 0.000 (multiplicity 2)
Br: 0.000 0.000 0.500 (multiplicity 1)
O: 0.500 0.500 0.500 (multiplicity 1)

The size of the total moment comes out at 0.053 μB/atom.


Energy relative to the most stable one, in meV per atom: #P 219; #Q 0